PaVIrO6: optimized geometry, PBE+U.

Calculated values
The raw total energy is -8.207 eV/atom.

Unit cell a=5.3669 b=5.3669 c=8.6564 alpha=90.00 beta=90.00 gamma=120.00
Space group P-31c (No. 163)
Unique sites:
Pa1 0.3333 0.6667 0.2500 (multiplicity 2)
V1 0.3333 0.6667 0.7500 (multiplicity 2)
Ir1 0.0000 0.0000 0.0000 (multiplicity 2)
O1 0.0208 0.3350 0.6243 (multiplicity 12)